DFT (GGA-PBEsol) results for a relaxed structure of BeTeP.

a = 6.0069 Å, b = 6.0069 Å, c = 6.0069 Å
α = 149.53°, β = 149.53°, γ = 43.63°
Positions (direct):
Be 0.0000 0.0000 0.0000
Te 0.7702 0.7702 0.0000
P 0.5301 0.5301 0.0000

energy relative to the elements, uncorrected = 234 meV per atom
SG = I4mm (107)

=====

DFT (GGA-PBEsol) results for a relaxed structure of BeTeP2.

a = 3.7932 Å, b = 3.7141 Å, c = 5.6655 Å
α = 90.00°, β = 101.70°, γ = 90.00°
Positions (direct):
Be 0.0000 0.0000 0.0000
Te 0.3648 0.5000 0.4872
P 0.5533 0.0000 0.1956
P 0.9028 0.5000 0.8259

energy above the most stable polymorph in this dataset = 0.000 eV/f.u.
energy relative to the elements, uncorrected = 155 meV per atom
SG = Pm (6)

=====

DFT (GGA-PBEsol) results for a relaxed structure of BeTlP.

a = 3.6609 Å, b = 3.6609 Å, c = 5.0048 Å
α = 90.00°, β = 90.00°, γ = 120.00°
Positions (direct):
Be 0.0000 0.0000 0.0000
Tl 0.3333 0.6667 0.5000
P 0.6667 0.3333 0.0000

formation energy from the elements = -63 meV/atom
SG = P-6m2 (187)

=====

DFT (GGA-PBEsol) results for a relaxed structure of BeTlP4.

a = 5.5737 Å, b = 5.5737 Å, c = 5.5737 Å
α = 60.00°, β = 60.00°, γ = 60.00°
Positions (direct):
Be 0.0000 0.0000 0.0000
Tl 0.2500 0.2500 0.2500
P 0.0533 0.6489 0.6489
P 0.6489 0.0533 0.6489
P 0.6489 0.6489 0.0533
P 0.6489 0.6489 0.6489

formation energy from the elements = 693 meV/atom
SG = F-43m (216)

=====

DFT (GGA-PBEsol) results for a relaxed structure of BeTl2PW.

a = 5.3318 Å, b = 5.3318 Å, c = 3.7298 Å
α = 90.00°, β = 90.00°, γ = 90.00°
Positions (direct):
Be 0.0000 0.0000 0.0000
Tl 0.0000 0.5000 0.5000
Tl 0.5000 0.0000 0.5000
P 0.0000 0.0000 0.5000
W 0.5000 0.5000 0.0000

formation energy from the elements = 1382 meV/atom
SG = P4/mmm (123)

=====

DFT (GGA-PBEsol) results for a relaxed structure of BeTlZnP2.

a = 4.2965 Å, b = 4.2965 Å, c = 4.8223 Å
α = 90.00°, β = 90.00°, γ = 90.00°
Positions (direct):
Be 0.0000 0.0000 0.0000
Tl 0.5000 0.5000 0.5000
Zn 0.0000 0.0000 0.5000
P 0.0000 0.5000 0.0000
P 0.5000 0.0000 0.0000

formation energy from the elements = 465 meV/atom
SG = P4/mmm (123)

=====

DFT (GGA-PBEsol) results for a relaxed structure of BeP3W.

a = 4.1119 Å, b = 4.1119 Å, c = 4.1119 Å
α = 90.00°, β = 90.00°, γ = 90.00°
Positions (direct):
Be 0.0000 0.0000 0.0000
P 0.0000 0.0000 0.5000
P 0.0000 0.5000 0.0000
P 0.5000 0.0000 0.0000
W 0.5000 0.5000 0.5000

formation energy from the elements = 1042 meV/atom
SG = Pm-3m (221)

=====

DFT (GGA-PBEsol) results for a relaxed structure of BePW2.

a = 3.2109 Å, b = 3.7426 Å, c = 4.3758 Å
α = 90.00°, β = 90.00°, γ = 90.00°
Positions (direct):
Be 0.0000 0.0000 0.0000
P 0.5000 0.0000 0.5000
W 0.0000 0.5000 0.5000
W 0.5000 0.5000 0.0000

energy above the most stable polymorph in this dataset = 0.316 eV/f.u.
formation energy from the elements = 232 meV/atom
SG = Pmmm (47)

=====

Size of the total moment values, unit μB/f.u., following the record order: 0.00; 0.00; 0.00; 0.00; 2.72; 0.00; 0.11; 0.00.
Calculated total energy values, unit hartree per atom, following the record order: -0.155; -0.170; -0.154; -0.157; -0.161; -0.128; -0.220; -0.335.